This record from Alexandria describes a relaxed structure of Cu2HgMo. The functional is PBEsol.

Output
The value obtained for the magnetization is 0.0 μB per formula unit. The value obtained for the formation energy is 403.9 meV per atom. For the electronic total energy, the calculation gives -4.847 eV/atom.

Cell lengths 8.6476, 2.6848, 5.1679 Å; angles 90.00, 96.89, 90.00 degrees
Sites, in units of the cell vectors:
Cu 0.2474 0.0000 0.2155
Cu 0.2526 0.5000 0.7845
Cu 0.7474 0.5000 0.2155
Cu 0.7526 0.0000 0.7845
Hg 0.0000 0.0000 0.5000
Hg 0.5000 0.5000 0.5000
Mo 0.0000 0.5000 0.0000
Mo 0.5000 0.0000 0.0000